Version a
This record from Alexandria describes a crystal of BeSiHg2 relaxed with PBEsol. The functional is meta-GGA SCAN.

Properties
* N(E_F): 0.35 states/eV per atom
* M_tot: 0.00 μB per formula unit

Cell lengths 3.323, 4.107, 5.403 Å; angles 90.00, 90.00, 90.00 degrees
Fractional positions:
1 Hg 0.000 0.000 0.000
2 Si 0.500 0.500 0.000
3 Hg 0.500 0.000 0.500
4 Be 0.000 0.500 0.500

---

Version b
This record from Alexandria describes a crystal of BeSiHg2 relaxed with PBEsol. The functional is meta-GGA SCAN.

Properties
* N(E_F): 0.34 states/eV per atom
* M_tot: 0.00 μB per formula unit

Cell lengths 3.182, 3.182, 8.129 Å; angles 78.71, 78.71, 60.00 degrees
Fractional positions:
1 Hg 0.259 0.259 0.223
2 Si 0.500 0.500 0.500
3 Hg 0.741 0.741 0.777
4 Be 0.000 0.000 0.000

---

Stability comparison, relative energies in meV/atom: version a 179; version b 0